Entry 1:
The following is a DFT calculation (PBE-GGA) of a relaxed Mg2AlFe crystal.

Properties
Calculated formation energy, eV per atom: 0.12

Geometry as POSCAR:
```
Mg2AlFe
1.0
1.471 0.849 9.240
-1.471 0.849 9.240
0.000 -1.699 9.240
Mg Al Fe
2 1 1
Direct
0.000 0.000 0.000
0.235 0.235 0.235
0.481 0.481 0.481
0.745 0.745 0.745
```

***

Entry 2:
The following is a DFT calculation (PBE-GGA) of a relaxed GaSb2SF crystal.

Properties
Formation energy without anion corrections, eV/atom: 0.0998

Geometry as POSCAR:
```
GaSb2SF
1.0
4.866 0.000 0.000
0.000 4.866 0.000
0.000 0.000 4.959
Ga Sb S F
1 2 1 1
Direct
0.000 0.000 0.000
0.000 0.500 0.500
0.500 0.000 0.500
0.500 0.500 0.000
0.000 0.000 0.500
```

***

Entry 3:
The following is a DFT calculation (PBE-GGA) of a relaxed SiCl crystal.

Properties
Energy relative to the lowest polymorph listed for this composition, eV/atom: 1.517
Formation energy without anion corrections, eV/atom: 0.8433

Geometry as POSCAR:
```
SiCl
1.0
7.791 0.000 0.000
0.000 7.791 0.000
0.000 0.000 7.791
Si Cl
6 6
Direct
0.000 0.250 0.500
0.000 0.750 0.500
0.250 0.500 0.000
0.500 0.000 0.250
0.500 0.000 0.750
0.750 0.500 0.000
0.000 0.500 0.250
0.000 0.500 0.750
0.250 0.000 0.500
0.500 0.250 0.000
0.500 0.750 0.000
0.750 0.000 0.500
```

***

Entry 4:
The following is a DFT calculation (PBE-GGA) of a relaxed Ni3SbPb crystal.

Properties
Energy relative to the lowest polymorph listed for this composition, eV/atom: 0.000
Formation energy without anion corrections, eV/atom: 0.5376

Geometry as POSCAR:
```
Ni3SbPb
1.0
4.708 0.000 0.000
0.000 4.708 0.000
0.000 0.000 4.708
Ni Sb Pb
3 1 1
Direct
0.000 0.000 0.500
0.000 0.500 0.000
0.500 0.000 0.000
0.000 0.000 0.000
0.500 0.500 0.500
```

***

Entry 5:
The following is a DFT calculation (PBE-GGA) of a relaxed Ac8Si5Ag crystal.

Properties
Formation energy without anion corrections, eV/atom: -0.4489

Geometry as POSCAR:
```
Ac8Si5Ag
1.0
-4.837 4.837 4.879
4.837 -4.837 4.879
4.837 4.837 -4.879
Ac Si Ag
8 5 1
Direct
0.013 0.122 0.754
0.253 0.495 0.618
0.365 0.747 0.242
0.367 0.259 0.246
0.505 0.123 0.758
0.741 0.987 0.108
0.877 0.635 0.382
0.878 0.633 0.892
0.126 0.002 0.374
0.249 0.874 0.876
0.500 0.500 0.000
0.628 0.751 0.626
0.998 0.372 0.124
0.750 0.250 0.500
```

***

Entry 6:
The following is a DFT calculation (PBE-GGA) of a relaxed PrCd5Ag6 crystal.

Properties
Calculated formation energy, eV per atom: -0.07

Geometry as POSCAR:
```
PrCd5Ag6
1.0
4.385 -7.010 0.000
4.385 7.010 0.000
-2.713 0.000 4.068
Pr Cd Ag
1 5 6
Direct
0.000 0.000 0.000
0.156 0.844 0.500
0.324 0.676 0.000
0.500 0.500 0.500
0.676 0.324 0.000
0.844 0.156 0.500
0.100 0.447 0.277
0.280 0.280 0.781
0.447 0.100 0.277
0.553 0.900 0.723
0.720 0.720 0.219
0.900 0.553 0.723
```

***

Entry 7:
The following is a DFT calculation (PBE-GGA) of a relaxed Ce2GaSi3 crystal.

Properties
Energy relative to the lowest polymorph listed for this composition, eV/atom: 0.000
Formation energy without anion corrections, eV/atom: -0.6457

Geometry as POSCAR:
```
Ce2GaSi3
1.0
-2.065 2.078 7.117
2.065 -2.078 7.117
2.065 2.078 -7.117
Ce Ga Si
2 1 3
Direct
0.000 0.000 0.000
0.760 0.260 0.500
0.589 0.589 0.000
0.174 0.674 0.500
0.339 0.839 0.500
0.420 0.420 0.000
```

***

Entry 8:
The following is a DFT calculation (PBE-GGA) of a relaxed Nb2BSe crystal.

Properties
Energy relative to the lowest polymorph listed for this composition, eV/atom: 0.000
Formation energy without anion corrections, eV/atom: 0.0441

Geometry as POSCAR:
```
Nb2BSe
1.0
0.000 3.080 3.080
3.080 0.000 3.080
3.080 3.080 0.000
Nb B Se
2 1 1
Direct
0.250 0.250 0.250
0.750 0.750 0.750
0.000 0.000 0.000
0.500 0.500 0.500
```

***

Entry 9:
The following is a DFT calculation (PBE-GGA) of a relaxed Pr2Al4ZnIr3 crystal.

Properties
Calculated formation energy, eV per atom: -0.72

Geometry as POSCAR:
```
Pr2Al4ZnIr3
1.0
4.214 0.000 0.000
0.000 4.214 0.000
0.000 0.000 10.756
Pr Al Zn Ir
2 4 1 3
Direct
0.000 0.500 0.248
0.500 0.000 0.752
0.000 0.000 0.000
0.000 0.500 0.632
0.500 0.000 0.368
0.500 0.500 0.000
0.000 0.000 0.500
0.000 0.500 0.868
0.500 0.000 0.132
0.500 0.500 0.500
```

***

Entry 10:
The following is a DFT calculation (PBE-GGA) of a relaxed CsRbZnBr4 crystal.

Properties
Formation energy without anion corrections, eV/atom: -1.4508

Geometry as POSCAR:
```
CsRbZnBr4
1.0
7.555 0.000 0.000
0.000 7.701 0.000
-3.372 0.000 9.644
Cs Rb Zn Br
2 2 2 8
Direct
0.200 0.250 0.417
0.800 0.750 0.583
0.288 0.250 0.959
0.712 0.750 0.041
0.299 0.750 0.205
0.701 0.250 0.795
0.094 0.750 0.346
0.131 0.750 0.957
0.490 0.000 0.738
0.490 0.500 0.738
0.510 0.000 0.262
0.510 0.500 0.262
0.869 0.250 0.043
0.906 0.250 0.654
```

***

Entry 11:
The following is a DFT calculation (PBE-GGA) of a relaxed Tm7Pt2Rh2 crystal.

Properties
Energy relative to the lowest polymorph listed for this composition, eV/atom: 0.195
Calculated formation energy, eV per atom: -0.69

Geometry as POSCAR:
```
Tm7Pt2Rh2
1.0
4.123 -5.082 0.000
4.123 5.082 0.000
0.000 0.000 6.797
Tm Pt Rh
7 2 2
Direct
0.000 0.000 0.000
0.000 0.500 0.260
0.000 0.500 0.740
0.500 0.000 0.260
0.500 0.000 0.740
0.500 0.500 0.256
0.500 0.500 0.744
0.225 0.225 0.500
0.775 0.775 0.500
0.279 0.721 0.000
0.721 0.279 0.000
```

***

Entry 12:
The following is a DFT calculation (PBE-GGA) of a relaxed Na2AgIrF8 crystal.

Properties
Formation energy without anion corrections, eV/atom: -1.8893

Geometry as POSCAR:
```
Na2AgIrF8
1.0
4.961 0.000 0.000
0.000 7.240 0.000
-0.251 0.000 5.096
Na Ag Ir F
2 1 1 8
Direct
0.000 0.243 0.000
0.000 0.757 0.000
0.500 0.000 0.500
0.500 0.500 0.500
0.208 0.000 0.199
0.228 0.500 0.211
0.310 0.300 0.669
0.310 0.700 0.669
0.690 0.300 0.331
0.690 0.700 0.331
0.772 0.500 0.789
0.792 0.000 0.801
```

***

Entry 13:
The following is a DFT calculation (PBE-GGA) of a relaxed Er7Sb2Pd2 crystal.

Properties
Energy relative to the lowest polymorph listed for this composition, eV/atom: 0.000
Formation energy without anion corrections, eV/atom: -0.7359

Geometry as POSCAR:
```
Er7Sb2Pd2
1.0
-1.987 7.750 4.795
1.987 -7.750 4.795
1.987 7.750 -4.795
Er Sb Pd
7 2 2
Direct
0.000 0.000 0.000
0.058 0.373 0.685
0.091 0.733 0.358
0.375 0.733 0.642
0.461 0.583 0.878
0.688 0.373 0.315
0.705 0.583 0.122
0.330 0.330 0.000
0.743 0.243 0.500
0.305 0.067 0.238
0.829 0.067 0.762
```

***

Entry 14:
The following is a DFT calculation (PBE-GGA) of a relaxed RbGaC crystal.

Properties
Calculated formation energy, eV per atom: 0.51

Geometry as POSCAR:
```
RbGaC
1.0
5.579 -3.429 0.000
5.579 3.429 0.000
0.000 0.000 6.868
Rb Ga C
4 4 4
Direct
0.188 0.188 0.000
0.312 0.312 0.500
0.688 0.688 0.500
0.812 0.812 0.000
0.142 0.858 0.642
0.358 0.642 0.142
0.642 0.358 0.858
0.858 0.142 0.358
0.155 0.845 0.345
0.345 0.655 0.845
0.655 0.345 0.155
0.845 0.155 0.655
```

***

Entry 15:
The following is a DFT calculation (PBE-GGA) of a relaxed TmSc5Co4 crystal.

Properties
Calculated formation energy, eV per atom: -0.28

Geometry as POSCAR:
```
TmSc5Co4
1.0
3.137 0.000 0.000
0.000 3.137 0.000
0.000 0.000 17.907
Tm Sc Co
1 5 4
Direct
0.000 0.000 0.000
0.500 0.500 0.153
0.500 0.500 0.326
0.500 0.500 0.500
0.500 0.500 0.674
0.500 0.500 0.847
0.000 0.000 0.236
0.000 0.000 0.412
0.000 0.000 0.588
0.000 0.000 0.764
```

***

Entry 16:
The following is a DFT calculation (PBE-GGA) of a relaxed K2As2Pt3 crystal.

Properties
Calculated formation energy, eV per atom: -0.45

Geometry as POSCAR:
```
K2As2Pt3
1.0
6.177 -2.002 0.000
6.177 2.002 0.000
-4.057 0.000 6.942
K As Pt
2 2 3
Direct
0.109 0.109 0.255
0.891 0.891 0.745
0.155 0.155 0.706
0.845 0.845 0.294
0.328 0.328 0.112
0.500 0.500 0.500
0.672 0.672 0.888
```

***

Entry 17:
The following is a DFT calculation (PBE-GGA) of a relaxed Ca2TbCd crystal.

Properties
Energy relative to the lowest polymorph listed for this composition, eV/atom: 0.187
Calculated formation energy, eV per atom: 0.13

Geometry as POSCAR:
```
Ca2TbCd
1.0
1.803 1.041 12.069
-1.803 1.041 12.069
0.000 -2.081 12.069
Ca Tb Cd
2 1 1
Direct
0.096 0.096 0.096
0.904 0.904 0.904
0.000 0.000 0.000
0.500 0.500 0.500
```

***

Entry 18:
The following is a DFT calculation (PBE-GGA) of a relaxed Mg3CuSe crystal.

Properties
Energy relative to the lowest polymorph listed for this composition, eV/atom: 0.000
Formation energy without anion corrections, eV/atom: -0.2347

Geometry as POSCAR:
```
Mg3CuSe
1.0
-2.121 2.121 6.508
2.121 -2.121 6.508
2.121 2.121 -6.508
Mg Cu Se
3 1 1
Direct
0.000 0.000 0.000
0.171 0.671 0.500
0.671 0.171 0.500
0.536 0.536 0.000
0.798 0.798 0.000
```

***

Entry 19:
The following is a DFT calculation (PBE-GGA) of a relaxed Y2CrCl crystal.

Properties
Energy relative to the lowest polymorph listed for this composition, eV/atom: 0.264
Formation energy without anion corrections, eV/atom: -0.2040

Geometry as POSCAR:
```
Y2CrCl
1.0
1.773 1.024 9.857
-1.773 1.024 9.857
0.000 -2.048 9.857
Y Cr Cl
2 1 1
Direct
0.000 0.000 0.000
0.235 0.235 0.235
0.488 0.488 0.488
0.732 0.732 0.732
```

***

Entry 20:
The following is a DFT calculation (PBE-GGA) of a relaxed Pm5Sm2Dy12 crystal.

Properties
Energy relative to the lowest polymorph listed for this composition, eV/atom: 0.000
Calculated formation energy, eV per atom: 0.13

Geometry as POSCAR:
```
Pm5Sm2Dy12
1.0
7.819 -4.654 0.000
7.819 4.654 0.000
-0.341 0.000 8.667
Pm Sm Dy
5 2 12
Direct
0.000 0.000 0.000
0.230 0.230 0.071
0.293 0.293 0.478
0.707 0.707 0.522
0.770 0.770 0.929
0.326 0.674 0.500
0.674 0.326 0.500
0.030 0.673 0.260
0.074 0.074 0.375
0.179 0.561 0.833
0.327 0.970 0.740
0.439 0.821 0.167
0.443 0.443 0.163
0.557 0.557 0.837
0.561 0.179 0.833
0.673 0.030 0.260
0.821 0.439 0.167
0.926 0.926 0.625
0.970 0.327 0.740
```

***

Number 1: calculated total energy -14.9 eV for the cell shown, calculated density 3151 kg/m3. Number 2: calculated total energy -16.8 eV for the cell shown, calculated density 5151 kg/m3. Number 3: calculated total energy -33.5 eV for the cell shown, calculated density 1339 kg/m3. Number 4: calculated total energy -22.5 eV for the cell shown, calculated density 8038 kg/m3. Number 5: calculated total energy -69.1 eV for the cell shown, calculated density 7508 kg/m3. Number 6: calculated total energy -27.3 eV for the cell shown, calculated density 8964 kg/m3. Number 7: calculated total energy -35.0 eV for the cell shown, calculated density 5902 kg/m3. Number 8: calculated total energy -30.1 eV for the cell shown, calculated density 7829 kg/m3. Number 9: calculated total energy -59.6 eV for the cell shown, calculated density 8971 kg/m3. Number 10: calculated total energy -39.9 eV for the cell shown, calculated density 3572 kg/m3. Number 11: calculated total energy -65.7 eV for the cell shown, calculated density 10369 kg/m3. Number 12: calculated total energy -52.0 eV for the cell shown, calculated density 4518 kg/m3. Number 13: calculated total energy -58.7 eV for the cell shown, calculated density 9146 kg/m3. Number 14: calculated total energy -46.8 eV for the cell shown, calculated density 4226 kg/m3. Number 15: calculated total energy -67.3 eV for the cell shown, calculated density 5931 kg/m3. Number 16: calculated total energy -32.7 eV for the cell shown, calculated density 7867 kg/m3. Number 17: calculated total energy -9.0 eV for the cell shown, calculated density 4296 kg/m3. Number 18: calculated total energy -13.5 eV for the cell shown, calculated density 3056 kg/m3. Number 19: calculated total energy -25.2 eV for the cell shown, calculated density 4101 kg/m3. Number 20: calculated total energy -86.0 eV for the cell shown, calculated density 7833 kg/m3.